# MgCrNF2, relaxed, DFT PBE+U
# Energy ... -5.51 eV per atom
data_MgCrNF2
_cell_length_a 3.8369
_cell_length_b 3.8369
_cell_length_c 4.1381
_cell_angle_alpha 90.00
_cell_angle_beta 90.00
_cell_angle_gamma 90.00
_space_group_name_H-M_alt 'P 4/m m m'
_space_group_IT_number 123
_space_group_name_Hall '-P 4 2'
loop_
_atom_site_label
_atom_site_type_symbol
_atom_site_fract_x
_atom_site_fract_y
_atom_site_fract_z
Mg1 Mg 0.0000 0.0000 0.0000
Cr1 Cr 0.5000 0.5000 0.5000
N1 N 0.5000 0.5000 0.0000
F1 F 0.0000 0.5000 0.5000